Entry 1:
Y3ZnAg2: optimized geometry, PBE.

Cell: 5.1345 5.1345 12.5282 Å, 90.00 90.00 120.00°
Closest atoms and distances in Å follow each position.
Fractional positions:
Y: 0.0000 0.0000 0.2476  5 Ag 3.10-3.16, 3 Zn 3.13
Y: 0.0000 0.0000 0.7524  5 Ag 3.10-3.16, 3 Zn 3.13
Y: 0.3333 0.6667 0.4148  1 Zn 3.10, 7 Ag 3.15-3.20
Y: 0.3333 0.6667 0.9176  4 Ag 3.10-3.14, 4 Zn 3.13-3.15
Y: 0.6667 0.3333 0.0824  4 Ag 3.10-3.14, 4 Zn 3.13-3.15
Y: 0.6667 0.3333 0.5852  1 Zn 3.10, 7 Ag 3.15-3.20
Zn: 0.3333 0.6667 0.1675  8 Y 3.10-3.15
Zn: 0.6667 0.3333 0.8325  8 Y 3.10-3.15
Ag: 0.0000 0.0000 0.0000  8 Y 3.10-3.14
Ag: 0.0000 0.0000 0.5000  8 Y 3.15-3.16
Ag: 0.3333 0.6667 0.6705  8 Y 3.10-3.20
Ag: 0.6667 0.3333 0.3295  8 Y 3.10-3.20

Computed properties:
Calculated volume in A^3/atom: 23.84
ΔH_f (0 K) in eV per atom: -0.34
Total moment in μB per formula unit: 0.00

Entry 2:
SmDyCl6: optimized geometry, PBE.

Cell: 7.3301 7.3301 7.3301 Å, 55.29 55.29 55.29°
Closest atoms and distances in Å follow each position.
Fractional positions:
Sm: 0.0000 0.0000 0.0000  6 Cl 2.72
Dy: 0.5000 0.5000 0.5000  6 Cl 2.66
Cl: 0.1075 0.7460 0.3996  1 Dy 2.66, 1 Sm 2.72
Cl: 0.2540 0.6004 0.8925  1 Dy 2.66, 1 Sm 2.72
Cl: 0.3996 0.1075 0.7460  1 Dy 2.66, 1 Sm 2.72
Cl: 0.6004 0.8925 0.2540  1 Dy 2.66, 1 Sm 2.72
Cl: 0.7460 0.3996 0.1075  1 Dy 2.66, 1 Sm 2.72
Cl: 0.8925 0.2540 0.6004  1 Dy 2.66, 1 Sm 2.72

Computed properties:
E_tot in eV per atom: -4.7982
Calculated volume in A^3/atom: 31.00
Total moment in μB per formula unit: 0.00